Run a
Below is GeBS2N after structural relaxation, with properties calculated at the PBE level.

Values from the calculation:
* calculated volume: 76 Å³ per cell
* total moment: 0.0 μB/f.u.
* space group: No. 123

Lattice parameters (Å, degrees): 5.3490 5.3490 2.6656 90.00 90.00 90.00
Last column: nearest neighbours and their distance in Å.
Positions (direct):
Ge (0.5000, 0.5000, 0.5000)  2 Ge 2.67
S (0.0000, 0.5000, 0.0000)  2 S 2.67, 2 B 2.67
S (0.5000, 0.0000, 0.0000)  2 S 2.67, 2 B 2.67
N (0.0000, 0.0000, 0.5000)  2 B 1.33
B (0.0000, 0.0000, 0.0000)  2 N 1.33



Run b
Below is GeBS2N after structural relaxation, with properties calculated at the PBE level.

Values from the calculation:
* calculated volume: 84 Å³ per cell
* total moment: 1.5 μB/f.u.
* space group: No. 123

Lattice parameters (Å, degrees): 4.7819 4.7819 3.6612 90.00 90.00 90.00
Last column: nearest neighbours and their distance in Å.
Positions (direct):
B (0.5000, 0.5000, 0.5000)  8 S 3.01
Ge (0.0000, 0.0000, 0.0000)  2 N 1.83
S (0.5000, 0.0000, 0.0000)  2 Ge 2.39
S (0.0000, 0.5000, 0.0000)  2 Ge 2.39
N (0.0000, 0.0000, 0.5000)  2 Ge 1.83



What should be chosen as the least stable of them? Choose run b.



Run a
Below is GeBSeN2 after structural relaxation, with properties calculated at the PBE level.

Values from the calculation:
* calculated volume: 71 Å³ per cell
* total moment: 0.0 μB/f.u.
* space group: No. 123

Lattice parameters (Å, degrees): 3.3551 3.3551 6.3383 90.00 90.00 90.00
Last column: nearest neighbours and their distance in Å.
Positions (direct):
N (0.5000, 0.0000, 0.0000)  2 B 1.68
N (0.0000, 0.5000, 0.0000)  2 B 1.68
B (0.0000, 0.0000, 0.0000)  4 N 1.68
Ge (0.5000, 0.5000, 0.5000)  4 Se 2.37
Se (0.0000, 0.0000, 0.5000)  4 Ge 2.37



Run b
Below is GeBSeN2 after structural relaxation, with properties calculated at the PBE level.

Values from the calculation:
* calculated volume: 89 Å³ per cell
* total moment: 0.1 μB/f.u.
* space group: No. 123

Lattice parameters (Å, degrees): 3.5355 3.5355 7.1255 90.00 90.00 90.00
Last column: nearest neighbours and their distance in Å.
Positions (direct):
N (0.5000, 0.0000, 0.0000)  2 Ge 1.77
N (0.0000, 0.5000, 0.0000)  2 Ge 1.77
Ge (0.0000, 0.0000, 0.0000)  4 N 1.77
Se (0.0000, 0.0000, 0.5000)  4 B 2.50
B (0.5000, 0.5000, 0.5000)  4 Se 2.50



What should be chosen as the least stable of them? Choose run b.



Run a
Below is NaGe3B after structural relaxation, with properties calculated at the PBE level.

Values from the calculation:
* calculated volume: 94 Å³ per cell
* total moment: 0.0 μB/f.u.
* space group: No. 221

Lattice parameters (Å, degrees): 4.5505 4.5505 4.5505 90.00 90.00 90.00
Last column: nearest neighbours and their distance in Å.
Positions (direct):
Na (0.5000, 0.5000, 0.5000)  12 Ge 3.22
Ge (0.0000, 0.5000, 0.0000)  2 B 2.28
Ge (0.5000, 0.0000, 0.0000)  2 B 2.28
Ge (0.0000, 0.0000, 0.5000)  2 B 2.28
B (0.0000, 0.0000, 0.0000)  6 Ge 2.28



Run b
Below is NaGe3B after structural relaxation, with properties calculated at the PBE level.

Values from the calculation:
* calculated volume: 126 Å³ per cell
* total moment: 0.0 μB/f.u.
* space group: No. 221

Lattice parameters (Å, degrees): 5.0067 5.0067 5.0067 90.00 90.00 90.00
Last column: nearest neighbours and their distance in Å.
Positions (direct):
Na (0.0000, 0.0000, 0.0000)  6 Ge 2.50
Ge (0.5000, 0.0000, 0.0000)  2 Na 2.50
Ge (0.0000, 0.5000, 0.0000)  2 Na 2.50
Ge (0.0000, 0.0000, 0.5000)  2 Na 2.50
B (0.5000, 0.5000, 0.5000)  12 Ge 3.54



What should be chosen as the least stable of them? Choose run b.